{
  "formula": "Mo6RhC",
  "functional": "PBE",
  "state": "optimized geometry",
  "lattice": [[4.6179, 0.5795, -1.0227], [2.7265, 5.5457, -1.1102], [1.6459, 1.5357, 4.4261]],
  "species": ["Mo", "Mo", "Mo", "C", "Mo", "Mo", "Mo", "Rh"],
  "fractional_positions": [[0.9010, 0.6957, 0.2578], [0.1935, 0.0501, 0.3227], [0.4886, 0.7194, 0.9084], [0.0000, 0.0000, 0.0000], [0.8065, 0.9499, 0.6773], [0.5114, 0.2806, 0.0916], [0.0990, 0.3043, 0.7422], [0.5000, 0.5000, 0.5000]],
  "magmom_total_mub_per_cell": 0.00,
  "formation_energy_ev_per_atom": 0.18,
  "volume_a3_per_atom": 14.8,
  "n_ef_per_ev_cell": 6.2
}

{
  "formula": "Tb5SmSc3",
  "functional": "PBE",
  "state": "optimized geometry",
  "lattice": [[-0.1832, 9.1395, 1.0463], [-7.2484, 1.6223, 5.4302], [-0.0051, 5.6638, 9.7034]],
  "species": ["Sm", "Tb", "Sc", "Sc", "Tb", "Tb", "Tb", "Tb", "Sc", "Tb", "Tb", "Tb", "Sc", "Tb", "Sm", "Sc", "Sc", "Tb"],
  "fractional_positions": [[0.8432, 0.8432, 0.4105], [0.2557, 0.7443, 0.0000], [0.3116, 0.3116, 0.1795], [0.3431, 0.3431, 0.6396], [0.7443, 0.2557, 0.0000], [0.8590, 0.3539, 0.2587], [0.6461, 0.1410, 0.7413], [0.8189, 0.8189, 0.9607], [0.0000, 0.0000, 0.5000], [0.1410, 0.6461, 0.7413], [0.1811, 0.1811, 0.0393], [0.4924, 0.4924, 0.2332], [0.6569, 0.6569, 0.3604], [0.3539, 0.8590, 0.2587], [0.1568, 0.1568, 0.5895], [0.0000, 0.0000, 0.0000], [0.6884, 0.6884, 0.8205], [0.5076, 0.5076, 0.7668]],
  "magmom_total_mub_per_cell": 0.00,
  "formation_energy_ev_per_atom": 0.46,
  "volume_a3_per_atom": 33.5,
  "n_ef_per_ev_cell": 26.8
}

no.,final energy (eV/cell)
1,-80.113
2,-85.425